U2TeS2 | PBE | relaxed

Results
uncorrected formation energy	-5.0	eV per formula unit
magnetization	5.854	μB/f.u.
energy above the lowest structure with this stoichiometry	126	meV per atom

a b c (Å): 4.126 4.126 10.521
angles (deg): 78.69 78.69 60.00
Sites, in units of the cell vectors:
U 0.600 0.100 0.200
U 0.400 0.900 0.800
S 0.774 0.274 0.677
S 0.226 0.726 0.323
Te 0.000 0.500 0.000

***

IrSe2Cl | PBE | relaxed

Results
uncorrected formation energy	2.9	eV per formula unit
magnetization	0.000	μB/f.u.
energy above the lowest structure with this stoichiometry	985	meV per atom

a b c (Å): 4.856 4.856 2.967
angles (deg): 90.00 90.00 90.00
Sites, in units of the cell vectors:
Se 0.500 0.500 0.000
Se 0.000 0.000 0.000
Ir 0.000 0.500 0.500
Cl 0.500 0.000 0.500

***

Pr6Sm3Dy2Mg | PBE | relaxed

Results
magnetization	0.000	μB/f.u.
total energy	-4.45	eV per atom

a b c (Å): 6.317 6.317 11.924
angles (deg): 95.09 95.09 120.06
Sites, in units of the cell vectors:
Pr 0.919 0.587 0.754
Pr 0.251 0.251 0.753
Pr 0.081 0.413 0.246
Pr 0.587 0.919 0.754
Pr 0.749 0.749 0.247
Pr 0.413 0.081 0.246
Dy 0.667 0.333 0.000
Dy 0.333 0.667 0.000
Sm 0.833 0.167 0.500
Sm 0.500 0.500 0.500
Sm 0.167 0.833 0.500
Mg 0.000 0.000 0.000

***

ThCo6C | PBE | relaxed

Results
magnetization	4.895	μB/f.u.
total energy	-7.33	eV per atom

a b c (Å): 5.267 5.267 5.260
angles (deg): 59.95 59.95 60.00
Sites, in units of the cell vectors:
Th 0.500 0.500 0.500
C 0.000 0.000 0.000
Co 0.101 0.101 0.230
Co 0.101 0.567 0.230
Co 0.433 0.899 0.770
Co 0.899 0.899 0.770
Co 0.567 0.101 0.230
Co 0.899 0.433 0.770

***

TbMg2Au8 | PBE | relaxed

Results
magnetization	0.000	μB/f.u.
total energy	-3.60	eV per atom

a b c (Å): 4.214 6.768 7.846
angles (deg): 105.91 105.58 90.00
Sites, in units of the cell vectors:
Au 0.144 0.203 0.288
Au 0.605 0.461 0.210
Au 0.395 0.539 0.790
Au 0.043 0.721 0.086
Au 0.856 0.797 0.712
Au 0.318 0.091 0.636
Au 0.682 0.909 0.364
Au 0.957 0.279 0.914
Mg 0.777 0.344 0.555
Mg 0.223 0.656 0.445
Tb 0.500 0.000 0.000

***

CsZn2Se2 | PBE | relaxed

Results
uncorrected formation energy	-2.2	eV per formula unit
magnetization	0.000	μB/f.u.
energy above the lowest structure with this stoichiometry	170	meV per atom

a b c (Å): 4.975 4.975 6.195
angles (deg): 66.32 66.32 90.00
Sites, in units of the cell vectors:
Se 0.750 0.250 0.500
Se 0.250 0.750 0.500
Zn 0.630 0.630 0.739
Zn 0.370 0.370 0.261
Cs 0.000 0.000 0.000

***

CdB2Ir | PBE | relaxed

Results
magnetization	0.000	μB/f.u.
total energy	-5.23	eV per atom

a b c (Å): 5.170 5.170 6.129
angles (deg): 65.05 65.05 90.00
Sites, in units of the cell vectors:
Ir 0.750 0.250 0.500
Ir 0.000 0.000 0.000
B 0.375 0.297 0.750
B 0.875 0.953 0.750
B 0.703 0.125 0.250
B 0.047 0.625 0.250
Cd 0.250 0.750 0.500
Cd 0.500 0.500 0.000

***

Ta2TeOs | PBE | relaxed

Results
uncorrected formation energy	1.2	eV per formula unit
magnetization	0.000	μB/f.u.

a b c (Å): 9.105 9.105 9.105
angles (deg): 19.94 19.94 19.94
Sites, in units of the cell vectors:
Te 0.501 0.501 0.501
Os 0.741 0.741 0.741
Ta 0.005 0.005 0.005
Ta 0.252 0.252 0.252

***

Tb2YHo6Tm3 | PBE | relaxed

Results
magnetization	0.000	μB/f.u.
total energy	-4.70	eV per atom

a b c (Å): 6.103 6.103 11.681
angles (deg): 94.98 94.98 119.93
Sites, in units of the cell vectors:
Tm 0.500 0.500 0.500
Tm 0.167 0.833 0.500
Tm 0.833 0.167 0.500
Ho 0.751 0.751 0.252
Ho 0.249 0.249 0.748
Ho 0.085 0.419 0.252
Ho 0.581 0.915 0.748
Ho 0.915 0.581 0.748
Ho 0.419 0.085 0.252
Tb 0.667 0.333 0.000
Tb 0.333 0.667 0.000
Y 0.000 0.000 0.000

***

CaCdMo2 | PBE | relaxed

Results
magnetization	0.000	μB/f.u.
total energy	-5.46	eV per atom

a b c (Å): 2.759 5.040 5.655
angles (deg): 90.00 90.00 90.00
Sites, in units of the cell vectors:
Ca 0.500 0.500 0.250
Cd 0.500 0.500 0.750
Mo 0.000 0.000 0.021
Mo 0.000 0.000 0.479

***

NaGaPb2 | PBE | relaxed

Results
magnetization	0.000	μB/f.u.
total energy	-2.86	eV per atom

a b c (Å): 4.676 4.676 11.233
angles (deg): 77.99 77.99 90.00
Sites, in units of the cell vectors:
Na 0.500 0.500 0.000
Na 0.250 0.750 0.500
Pb 0.375 0.367 0.750
Pb 0.633 0.125 0.250
Pb 0.117 0.625 0.250
Pb 0.875 0.883 0.750
Ga 0.750 0.250 0.500
Ga 0.000 0.000 0.000

***

Ba2CdAgPd | PBE | relaxed

Results
magnetization	0.000	μB/f.u.
energy above the lowest structure with this stoichiometry	53	meV per atom

a b c (Å): 6.095 6.095 5.190
angles (deg): 90.00 90.00 90.00
Sites, in units of the cell vectors:
Pd 0.000 0.000 0.000
Ag 0.000 0.000 0.500
Ba 0.500 0.000 0.000
Ba 0.000 0.500 0.000
Cd 0.500 0.500 0.500

***

AlCdSe2 | PBE | relaxed

Results
uncorrected formation energy	-0.9	eV per formula unit
magnetization	0.000	μB/f.u.
energy above the lowest structure with this stoichiometry	302	meV per atom

a b c (Å): 8.353 8.353 8.353
angles (deg): 26.00 26.00 26.00
Sites, in units of the cell vectors:
Al 0.508 0.508 0.508
Se 0.017 0.017 0.017
Se 0.225 0.225 0.225
Cd 0.750 0.750 0.750

***

Mg4GaSn5 | PBE | relaxed

Results
magnetization	0.000	μB/f.u.
total energy	-3.03	eV per atom

a b c (Å): 3.396 3.396 20.893
angles (deg): 90.00 90.00 90.00
Sites, in units of the cell vectors:
Mg 0.000 0.000 0.801
Mg 0.000 0.000 0.399
Mg 0.000 0.000 0.199
Mg 0.000 0.000 0.601
Ga 0.000 0.000 0.000
Sn 0.500 0.500 0.701
Sn 0.500 0.500 0.299
Sn 0.500 0.500 0.901
Sn 0.500 0.500 0.099
Sn 0.500 0.500 0.500

***

UIr2Au | PBE | relaxed

Results
magnetization	1.139	μB/f.u.
total energy	-8.42	eV per atom

a b c (Å): 3.917 4.249 4.249
angles (deg): 90.00 90.00 90.00
Sites, in units of the cell vectors:
Ir 0.000 0.500 0.000
Ir 0.000 0.000 0.500
U 0.500 0.500 0.500
Au 0.500 0.000 0.000

***

Cs2K2Li | PBE | relaxed

Results
magnetization	0.000	μB/f.u.
energy above the lowest structure with this stoichiometry	0	meV per atom

a b c (Å): 10.087 10.087 7.662
angles (deg): 90.00 90.00 90.00
Sites, in units of the cell vectors:
K 0.150 0.350 0.000
K 0.650 0.150 0.000
K 0.850 0.650 0.000
K 0.350 0.850 0.000
Cs 0.681 0.819 0.500
Cs 0.819 0.319 0.500
Cs 0.319 0.181 0.500
Cs 0.181 0.681 0.500
Li 0.500 0.500 0.000
Li 0.000 0.000 0.000

***

Tm5Bi2Ir | PBE | relaxed

Results
magnetization	0.000	μB/f.u.
energy above the lowest structure with this stoichiometry	396	meV per atom

a b c (Å): 5.478 8.266 14.678
angles (deg): 90.00 90.00 109.35
Sites, in units of the cell vectors:
Tm 0.052 0.103 0.375
Tm 0.276 0.552 0.105
Tm 0.948 0.897 0.625
Tm 0.052 0.103 0.125
Tm 0.948 0.897 0.875
Tm 0.276 0.552 0.395
Tm 0.724 0.448 0.605
Tm 0.724 0.448 0.895
Tm 0.698 0.396 0.250
Tm 0.302 0.604 0.750
Ir 0.173 0.346 0.250
Ir 0.827 0.654 0.750
Bi 0.858 0.717 0.066
Bi 0.142 0.283 0.566
Bi 0.858 0.717 0.434
Bi 0.142 0.283 0.934

***

Sc2TlBMo | PBE | relaxed

Results
magnetization	0.000	μB/f.u.
energy above the lowest structure with this stoichiometry	778	meV per atom

a b c (Å): 5.066 4.291 5.066
angles (deg): 90.00 90.00 90.00
Sites, in units of the cell vectors:
Sc 0.500 0.000 0.000
Sc 0.000 0.000 0.500
Mo 0.000 0.000 0.000
B 0.000 0.500 0.000
Tl 0.500 0.500 0.500

***

Pm2In5Pd3 | PBE | relaxed

Results
magnetization	0.000	μB/f.u.
energy above the lowest structure with this stoichiometry	53	meV per atom

a b c (Å): 6.085 9.321 9.321
angles (deg): 71.24 70.95 70.95
Sites, in units of the cell vectors:
In 0.424 0.262 0.890
In 0.750 0.500 0.500
In 0.950 0.800 0.800
In 0.576 0.738 0.110
In 0.050 0.200 0.200
In 0.550 0.200 0.200
In 0.450 0.800 0.800
In 0.250 0.500 0.500
In 0.076 0.110 0.738
In 0.924 0.890 0.262
Pd 0.750 0.000 0.000
Pd 0.151 0.262 0.437
Pd 0.349 0.563 0.738
Pd 0.651 0.437 0.262
Pd 0.250 0.000 0.000
Pd 0.849 0.738 0.563
Pm 0.656 0.129 0.559
Pm 0.844 0.441 0.871
Pm 0.156 0.559 0.129
Pm 0.344 0.871 0.441

***

RbCr2Si | PBE | relaxed

Results
uncorrected formation energy	3.6	eV per formula unit
magnetization	8.827	μB/f.u.

a b c (Å): 5.872 5.872 8.935
angles (deg): 70.82 70.82 90.00
Sites, in units of the cell vectors:
Rb 0.750 0.250 0.500
Rb 0.000 0.000 0.000
Cr 0.375 0.625 0.750
Cr 0.375 0.625 0.250
Cr 0.375 0.125 0.250
Cr 0.875 0.625 0.750
Si 0.500 0.500 0.000
Si 0.250 0.750 0.500